Mg5TlPb: relaxed, GGA-PBE.

Computed properties:
- crystal system = monoclinic
- energy above the most stable polymorph in this dataset (meV/atom) = 25
- energy of formation from the pure elements (eV per formula unit) = 0.1

a = 7.8421 Å, b = 7.8421 Å, c = 6.2304 Å
α = 103.73°, β = 103.73°, γ = 95.91°
Closest atoms and distances in Å follow each position.
Atoms (fractional coordinates):
1 Mg 0.1178 0.8822 0.7500  2 Tl 2.97, 3 Pb 3.03-3.13, 6 Mg 3.24-3.30
2 Mg 0.2380 0.2707 0.1303  7 Mg 3.14-3.27, 1 Tl 3.20, 1 Pb 3.23
3 Mg 0.2707 0.2380 0.6303  7 Mg 3.14-3.27, 1 Tl 3.20, 1 Pb 3.23
4 Mg 0.3504 0.6146 0.9869  1 Pb 3.07, 7 Mg 3.10-3.30, 2 Tl 3.10-3.44
5 Mg 0.3854 0.6496 0.5131  1 Pb 3.07, 7 Mg 3.10-3.30, 2 Tl 3.10-3.44
6 Mg 0.6146 0.3504 0.4869  1 Pb 3.07, 7 Mg 3.10-3.30, 2 Tl 3.10-3.44
7 Mg 0.6496 0.3854 0.0131  1 Pb 3.07, 7 Mg 3.10-3.30, 2 Tl 3.10-3.44
8 Mg 0.7293 0.7620 0.3697  7 Mg 3.14-3.27, 1 Tl 3.20, 1 Pb 3.23
9 Mg 0.7620 0.7293 0.8697  7 Mg 3.14-3.27, 1 Tl 3.20, 1 Pb 3.23
10 Mg 0.8822 0.1178 0.2500  2 Tl 2.97, 3 Pb 3.03-3.13, 6 Mg 3.24-3.30
11 Tl 0.0000 0.5000 0.5000  6 Mg 2.97-3.20
12 Tl 0.5000 0.0000 0.0000  6 Mg 2.97-3.20
13 Pb 0.1422 0.8578 0.2500  7 Mg 3.03-3.23
14 Pb 0.8578 0.1422 0.7500  7 Mg 3.03-3.23